Record 1
# HoPdPtRh

A geometry-optimized HoPdPtRh structure (GGA-PBE, Alexandria).

```
HoPdPtRh
1.0
-1.267 3.770 -0.772
-1.910 0.105 3.646
3.389 1.494 1.732
Rh Pd Pt Ho
1 1 1 1
Cartesian
1.061 2.632 0.480 Rh
-1.589 1.937 1.437 Pd
0.000 0.000 0.000 Pt
0.739 0.800 2.689 Ho
```

Properties
Space-group type: No. 47
E_tot (eV/atom): -6.584
Energy of formation from the pure elements (meV per atom): -794
Relative energy among the computed polymorphs (meV/atom): 0
Total moment (μB per formula unit): 0.0

=====

Record 2
# HoPdPtRh

A geometry-optimized HoPdPtRh structure (GGA-PBE, Alexandria).

```
HoPdPtRh
1.0
-3.114 1.252 3.170
-2.708 -3.185 1.959
0.622 -1.152 4.427
Rh Pd Ho Pt
1 1 1 1
Cartesian
0.000 0.000 0.000 Rh
-2.600 -1.542 4.778 Pd
-3.900 -2.314 7.167 Ho
-1.300 -0.771 2.389 Pt
```

Properties
Space-group type: No. 216
E_tot (eV/atom): -6.411
Energy of formation from the pure elements (meV per atom): -620
Relative energy among the computed polymorphs (meV/atom): 174
Total moment (μB per formula unit): 0.0